TbTh2NpAs4: optimized geometry, PBE.

Unit cell a=7.237 b=4.208 c=7.276 alpha=90.00 beta=109.62 gamma=90.00
Space group P2/m (No. 10)
Asymmetric unit:
Tb: 0.000 0.000 0.000 x1
Th: 0.500 0.000 0.500 x1
Th: 0.500 0.500 0.000 x1
Np: 0.000 0.500 0.500 x1
As: 0.241 0.000 0.746 x2
As: 0.243 0.500 0.248 x2

Results
ΔE_f: -10.07 eV/f.u.
DOS at the Fermi energy: 1.685 states/eV/atom
Crystal system: monoclinic